No. 1
First-principles (PBE) data for CrAgRh3 after structural relaxation, as listed in Alexandria via LeMat-Bulk.

a b c (Å): 4.4534 4.4534 4.4534
angles (deg): 90.00 90.00 90.00
Last column: nearest neighbours and their distance in Å.
Element x y z (fractional)
Cr 0.0000 0.0000 0.0000  6 Rh 2.23
Ag 0.5000 0.5000 0.5000  12 Rh 3.15
Rh 0.0000 0.0000 0.5000  2 Cr 2.23
Rh 0.0000 0.5000 0.0000  2 Cr 2.23
Rh 0.5000 0.0000 0.0000  2 Cr 2.23

Computed properties:
The symmetry is No. 221. Its uncorrected energy is -6.10 eV/atom. Its energy relative to the elements is 0.80 eV per atom.

No. 2
First-principles (PBE) data for CrAg2Rh after structural relaxation, as listed in Alexandria via LeMat-Bulk.

a b c (Å): 3.8658 3.8658 4.2771
angles (deg): 90.00 90.00 90.00
Last column: nearest neighbours and their distance in Å.
Element x y z (fractional)
Cr 0.0000 0.0000 0.0000  4 Rh 2.73, 8 Ag 2.88
Ag 0.0000 0.5000 0.5000  4 Ag 2.73, 4 Cr 2.88, 4 Rh 2.88
Ag 0.5000 0.0000 0.5000  4 Ag 2.73, 4 Cr 2.88, 4 Rh 2.88
Rh 0.5000 0.5000 0.0000  4 Cr 2.73, 8 Ag 2.88

Computed properties:
The energy relative to the lowest polymorph listed for this composition is 111 meV per atom. The symmetry is No. 123. Its uncorrected energy is -5.39 eV/atom. Its energy relative to the elements is 0.28 eV per atom.

No. 3
First-principles (PBE) data for CrAgRh2 after structural relaxation, as listed in Alexandria via LeMat-Bulk.

a b c (Å): 2.7432 2.7432 7.6951
angles (deg): 90.00 90.00 90.00
Last column: nearest neighbours and their distance in Å.
Element x y z (fractional)
Cr 0.0000 0.0000 0.0000  8 Rh 2.56, 4 Cr 2.74
Ag 0.0000 0.0000 0.5000  4 Ag 2.74, 8 Rh 2.92
Rh 0.5000 0.5000 0.2168  4 Cr 2.56, 4 Rh 2.74
Rh 0.5000 0.5000 0.7832  4 Cr 2.56, 4 Rh 2.74

Computed properties:
The symmetry is No. 123. Its uncorrected energy is -6.75 eV/atom. Its energy relative to the elements is 0.04 eV per atom.

No. 4
First-principles (PBE) data for CrAgRh2 after structural relaxation, as listed in Alexandria via LeMat-Bulk.

a b c (Å): 5.3463 5.3463 5.3463
angles (deg): 148.76 129.67 60.44
Last column: nearest neighbours and their distance in Å.
Element x y z (fractional)
Cr 0.0000 0.0000 0.0000  6 Rh 2.49-2.70, 2 Ag 2.78
Ag 0.7421 0.2421 0.5000  6 Rh 2.70-2.88, 2 Cr 2.78, 2 Ag 2.88
Rh 0.2201 0.7201 0.5000  2 Cr 2.49, 4 Ag 2.70, 2 Rh 2.73
Rh 0.4716 0.4716 0.0000  4 Cr 2.70, 4 Rh 2.73-2.88, 2 Ag 2.88

Computed properties:
The symmetry is No. 44. Its uncorrected energy is -6.52 eV/atom. Its energy relative to the elements is 0.28 eV per atom.

No. 5
First-principles (PBE) data for CrAgRh4 after structural relaxation, as listed in Alexandria via LeMat-Bulk.

a b c (Å): 5.1309 5.1309 5.1309
angles (deg): 60.00 60.00 60.00
Last column: nearest neighbours and their distance in Å.
Element x y z (fractional)
Cr 0.0000 0.0000 0.0000  12 Rh 3.01, 4 Ag 3.14
Ag 0.7500 0.7500 0.7500  12 Rh 3.01, 4 Cr 3.14
Rh 0.3749 0.3749 0.3749  6 Rh 2.56-2.57
Rh 0.3749 0.3749 0.8754  6 Rh 2.56-2.57
Rh 0.3749 0.8754 0.3749  6 Rh 2.56-2.57
Rh 0.8754 0.3749 0.3749  6 Rh 2.56-2.57

Computed properties:
The symmetry is No. 216. Its uncorrected energy is -6.64 eV/atom. Its energy relative to the elements is 0.34 eV per atom.

No. 6
First-principles (PBE) data for CrAgRh2 after structural relaxation, as listed in Alexandria via LeMat-Bulk.

a b c (Å): 4.5197 4.5197 2.9449
angles (deg): 90.00 90.00 90.00
Last column: nearest neighbours and their distance in Å.
Element x y z (fractional)
Cr 0.0000 0.0000 0.0000  8 Rh 2.70, 2 Cr 2.94
Ag 0.5000 0.5000 0.0000  8 Rh 2.70, 2 Ag 2.94
Rh 0.0000 0.5000 0.5000  4 Cr 2.70, 4 Ag 2.70, 2 Rh 2.94
Rh 0.5000 0.0000 0.5000  4 Cr 2.70, 4 Ag 2.70, 2 Rh 2.94

Computed properties:
The symmetry is No. 123. Its uncorrected energy is -6.51 eV/atom. Its energy relative to the elements is 0.29 eV per atom.

No. 7
First-principles (PBE) data for CrAgRh2 after structural relaxation, as listed in Alexandria via LeMat-Bulk.

a b c (Å): 9.0291 9.0291 9.0291
angles (deg): 17.47 17.47 17.47
Last column: nearest neighbours and their distance in Å.
Element x y z (fractional)
Cr 0.0000 0.0000 0.0000  6 Rh 2.53, 6 Cr 2.74
Ag 0.5000 0.5000 0.5000  6 Ag 2.74, 6 Rh 2.94
Rh 0.2594 0.2594 0.2594  3 Cr 2.53, 6 Rh 2.74
Rh 0.7406 0.7406 0.7406  3 Cr 2.53, 6 Rh 2.74

Computed properties:
The symmetry is No. 166. Its uncorrected energy is -6.76 eV/atom. Its energy relative to the elements is 0.04 eV per atom.

No. 8
First-principles (PBE) data for CrAgRh2 after structural relaxation, as listed in Alexandria via LeMat-Bulk.

a b c (Å): 2.7120 2.7120 7.8804
angles (deg): 90.00 90.00 90.00
Last column: nearest neighbours and their distance in Å.
Element x y z (fractional)
Cr 0.0000 0.0000 0.0000  4 Rh 2.53, 4 Cr 2.71, 4 Ag 2.83
Ag 0.5000 0.5000 0.7362  4 Ag 2.71, 4 Cr 2.83, 4 Rh 2.87
Rh 0.0000 0.0000 0.4651  8 Rh 2.71-2.79, 4 Ag 2.87
Rh 0.5000 0.5000 0.2087  4 Cr 2.53, 8 Rh 2.71-2.79

Computed properties:
The symmetry is No. 99. Its uncorrected energy is -6.54 eV/atom. Its energy relative to the elements is 0.25 eV per atom.

No. 9
First-principles (PBE) data for CrAgRh2 after structural relaxation, as listed in Alexandria via LeMat-Bulk.

a b c (Å): 4.4255 4.4255 4.4255
angles (deg): 60.00 60.00 60.00
Last column: nearest neighbours and their distance in Å.
Element x y z (fractional)
Cr 0.0000 0.0000 0.0000  4 Rh 2.71, 4 Ag 2.71
Ag 0.2500 0.2500 0.2500  4 Rh 2.71, 4 Cr 2.71
Rh 0.5000 0.5000 0.5000  4 Rh 2.71, 4 Ag 2.71
Rh 0.7500 0.7500 0.7500  4 Rh 2.71, 4 Cr 2.71

Computed properties:
The symmetry is No. 216. Its uncorrected energy is -6.43 eV/atom. Its energy relative to the elements is 0.36 eV per atom.

No. 10
First-principles (PBE) data for CrAg2Rh after structural relaxation, as listed in Alexandria via LeMat-Bulk.

a b c (Å): 4.8055 4.8055 4.9626
angles (deg): 102.01 102.01 35.42
Last column: nearest neighbours and their distance in Å.
Element x y z (fractional)
Cr 0.0000 0.0000 0.0000  3 Rh 2.56-2.81, 2 Ag 2.80
Ag 0.2442 0.2442 0.7039  5 Ag 2.71-2.92, 4 Rh 2.81-2.95, 3 Cr 2.88-2.93
Ag 0.4870 0.4870 0.4745  5 Ag 2.71-2.92, 4 Cr 2.80-2.97, 3 Rh 2.88-2.91
Rh 0.7295 0.7295 0.1816  3 Cr 2.56-2.81, 2 Ag 2.81

Computed properties:
The energy relative to the lowest polymorph listed for this composition is 128 meV per atom. The symmetry is No. 8. Its uncorrected energy is -5.37 eV/atom. Its energy relative to the elements is 0.30 eV per atom.

No. 11
First-principles (PBE) data for CrAg2Rh after structural relaxation, as listed in Alexandria via LeMat-Bulk.

a b c (Å): 9.4831 9.4831 9.4831
angles (deg): 17.18 17.18 17.18
Last column: nearest neighbours and their distance in Å.
Element x y z (fractional)
Cr 0.0000 0.0000 0.0000  6 Cr 2.83, 6 Ag 2.84
Ag 0.2506 0.2506 0.2506  6 Ag 2.83, 3 Cr 2.84, 3 Rh 2.86
Ag 0.7494 0.7494 0.7494  6 Ag 2.83, 3 Cr 2.84, 3 Rh 2.86
Rh 0.5000 0.5000 0.5000  6 Rh 2.83, 6 Ag 2.86

Computed properties:
The energy relative to the lowest polymorph listed for this composition is 311 meV per atom. The symmetry is No. 166. Its uncorrected energy is -5.19 eV/atom. Its energy relative to the elements is 0.48 eV per atom.

No. 12
First-principles (PBE) data for CrAgRh2 after structural relaxation, as listed in Alexandria via LeMat-Bulk.

a b c (Å): 4.7540 4.7540 4.8099
angles (deg): 102.48 102.48 34.21
Last column: nearest neighbours and their distance in Å.
Element x y z (fractional)
Cr 0.0000 0.0000 0.0000  6 Rh 2.60-2.86, 4 Ag 2.78, 2 Cr 2.80
Ag 0.5000 0.5000 0.5000  6 Rh 2.74-2.82, 4 Cr 2.78, 2 Ag 2.80
Rh 0.2632 0.2632 0.7664  3 Cr 2.60-2.86, 6 Rh 2.70-2.88, 3 Ag 2.74-2.82
Rh 0.7368 0.7368 0.2336  3 Cr 2.60-2.86, 6 Rh 2.70-2.88, 3 Ag 2.74-2.82

Computed properties:
The symmetry is No. 12. Its uncorrected energy is -6.61 eV/atom. Its energy relative to the elements is 0.18 eV per atom.

No. 13
First-principles (PBE) data for CrAg2Rh after structural relaxation, as listed in Alexandria via LeMat-Bulk.

a b c (Å): 5.8520 5.8520 5.8520
angles (deg): 101.60 101.60 126.71
Last column: nearest neighbours and their distance in Å.
Element x y z (fractional)
Cr 0.0000 0.0000 0.0000  2 Rh 2.62, 4 Ag 2.70
Cr 0.7500 0.2500 0.5000  2 Rh 2.62, 4 Ag 2.70
Ag 0.1258 0.6250 0.0008  2 Ag 2.62, 2 Rh 2.69, 2 Cr 2.70
Ag 0.3750 0.3758 0.5008  2 Ag 2.62, 2 Rh 2.69, 2 Cr 2.70
Ag 0.6242 0.1250 0.9992  2 Ag 2.62, 2 Rh 2.69, 2 Cr 2.70
Ag 0.8750 0.8742 0.4992  2 Ag 2.62, 2 Rh 2.69, 2 Cr 2.70
Rh 0.2500 0.7500 0.5000  2 Cr 2.62, 4 Ag 2.69
Rh 0.5000 0.5000 0.0000  2 Cr 2.62, 4 Ag 2.69

Computed properties:
The energy relative to the lowest polymorph listed for this composition is 526 meV per atom. The symmetry is No. 122. Its uncorrected energy is -4.97 eV/atom. Its energy relative to the elements is 0.69 eV per atom.

No. 14
First-principles (PBE) data for CrAg4Rh after structural relaxation, as listed in Alexandria via LeMat-Bulk.

a b c (Å): 5.3470 5.3470 5.3470
angles (deg): 60.00 60.00 60.00
Last column: nearest neighbours and their distance in Å.
Element x y z (fractional)
Cr 0.0000 0.0000 0.0000  12 Ag 3.14, 4 Rh 3.27
Ag 0.3751 0.3751 0.3751  6 Ag 2.67-2.68
Ag 0.3751 0.3751 0.8747  6 Ag 2.67-2.68
Ag 0.3751 0.8747 0.3751  6 Ag 2.67-2.68
Ag 0.8747 0.3751 0.3751  6 Ag 2.67-2.68
Rh 0.7500 0.7500 0.7500  12 Ag 3.13, 4 Cr 3.27

Computed properties:
The symmetry is No. 216. Its uncorrected energy is -4.24 eV/atom. Its energy relative to the elements is 0.49 eV per atom.

No. 15
First-principles (PBE) data for CrAgRh2 after structural relaxation, as listed in Alexandria via LeMat-Bulk.

a b c (Å): 4.7200 4.7200 4.7200
angles (deg): 130.58 130.58 72.49
Last column: nearest neighbours and their distance in Å.
Element x y z (fractional)
Cr 0.0000 0.0000 0.0000  8 Rh 2.74, 4 Ag 2.79
Ag 0.5000 0.5000 0.0000  8 Rh 2.74, 4 Cr 2.79
Rh 0.2500 0.7500 0.5000  4 Cr 2.74, 4 Ag 2.74, 4 Rh 2.79
Rh 0.7500 0.2500 0.5000  4 Cr 2.74, 4 Ag 2.74, 4 Rh 2.79

Computed properties:
The symmetry is No. 139. Its uncorrected energy is -6.59 eV/atom. Its energy relative to the elements is 0.20 eV per atom.

Taking the records one at a time from the top gives total moment values of 0.00, 0.86, 0.00, 0.65, 0.24, 0.70, 0.00, 0.00, 0.66, 0.83, 1.08, 0.70, 1.00, 0.70, 0.49 μB per atom.